! GGA-PBE Ba3LaAl2O8, optimized geometry; values from VASP
! Volume (Å³ per cell): 245.20
! Formation energy (no corrections) (eV/atom): -2.796
! Crystal system: trigonal
&SYSTEM
  ibrav = 0, nat = 14, ntyp = 4
/
ATOMIC_SPECIES
O 16.00 O.upf
Al 26.98 Al.upf
Ba 137.33 Ba.upf
La 138.91 La.upf
ATOMIC_POSITIONS angstrom
O 1.5981 0.9227 5.3526
O 3.0297 3.4023 5.3526
O 3.0297 1.7492 0.0546
O 0.0000 3.4984 7.6567
O 4.4613 0.9227 5.3526
O -1.4316 4.3250 2.3587
O 1.4316 4.3250 2.3587
O 0.0000 1.8453 2.3587
Al 3.0297 1.7492 6.0095
Al 0.0000 3.4984 1.7018
Ba 0.0000 3.4984 5.1783
Ba 3.0297 1.7492 2.5330
Ba 0.0000 0.0000 0.0000
La 0.0000 0.0000 3.8557
CELL_PARAMETERS angstrom
6.0595 0.0000 0.0000
-3.0297 5.2476 0.0000
0.0000 0.0000 7.7113